VASP calculation (PBE-GGA) on Pm6Ir2SeBr3 after structural relaxation.

The structure in CIF format:
```
data_Pm6Ir2SeBr3
_chemical_formula_sum 'Pm12 Ir4 Se2 Br6'
_cell_length_a 7.335
_cell_length_b 12.697
_cell_length_c 7.935
_cell_angle_alpha 90.00
_cell_angle_beta 107.91
_cell_angle_gamma 90.00
_space_group_name_H-M_alt 'C 1 2/m 1'
_space_group_IT_number 12
loop_
_space_group_symop_operation_xyz
'x,y,z'
'-x,-y,-z'
'-x,y,-z'
'x,-y,z'
'x+1/2,y+1/2,z'
'-x+1/2,-y+1/2,-z'
'-x+1/2,y+1/2,-z'
'x+1/2,-y+1/2,z'
loop_
_atom_site_label
_atom_site_fract_x
_atom_site_fract_y
_atom_site_fract_z
Pm1 0.209 0.000 0.199
Pm2 0.246 0.322 0.200
Ir1 0.000 0.167 0.000
Se1 0.000 0.500 0.000
Br1 0.000 0.000 0.500
Br2 0.000 0.339 0.500
```

Results
calculated density = 7.4 Mg/m³
formation energy (no corrections) = -1.2415 eV/atom
total DFT energy (no corrections) = -0.426 Ry/atom

VASP calculation (PBE-GGA) on Pm4IrSeBr2 after structural relaxation.

The structure in CIF format:
```
data_Pm4IrSeBr2
_chemical_formula_sum 'Pm4 Ir1 Se1 Br2'
_cell_length_a 7.592
_cell_length_b 4.107
_cell_length_c 7.794
_cell_angle_alpha 90.00
_cell_angle_beta 107.71
_cell_angle_gamma 90.00
_space_group_name_H-M_alt 'P 1 2/m 1'
_space_group_IT_number 10
loop_
_space_group_symop_operation_xyz
'x,y,z'
'-x,-y,-z'
'-x,y,-z'
'x,-y,z'
loop_
_atom_site_label
_atom_site_fract_x
_atom_site_fract_y
_atom_site_fract_z
Pm1 0.210 0.000 0.200
Pm2 0.250 0.500 0.793
Ir1 0.000 0.500 0.000
Se1 0.500 0.000 0.000
Br1 0.000 0.000 0.500
Br2 0.500 0.500 0.500
```

Results
calculated density = 7.3 Mg/m³
formation energy (no corrections) = -1.2785 eV/atom
total DFT energy (no corrections) = -0.413 Ry/atom

> Which of these has the highest total DFT energy (no corrections)?

Pm4IrSeBr2

Please write out number 1 again, unchanged.
VASP calculation (PBE-GGA) on Pm6Ir2SeBr3 after structural relaxation.

The structure in CIF format:
```
data_Pm6Ir2SeBr3
_chemical_formula_sum 'Pm12 Ir4 Se2 Br6'
_cell_length_a 7.335
_cell_length_b 12.697
_cell_length_c 7.935
_cell_angle_alpha 90.00
_cell_angle_beta 107.91
_cell_angle_gamma 90.00
_space_group_name_H-M_alt 'C 1 2/m 1'
_space_group_IT_number 12
loop_
_space_group_symop_operation_xyz
'x,y,z'
'-x,-y,-z'
'-x,y,-z'
'x,-y,z'
'x+1/2,y+1/2,z'
'-x+1/2,-y+1/2,-z'
'-x+1/2,y+1/2,-z'
'x+1/2,-y+1/2,z'
loop_
_atom_site_label
_atom_site_fract_x
_atom_site_fract_y
_atom_site_fract_z
Pm1 0.209 0.000 0.199
Pm2 0.246 0.322 0.200
Ir1 0.000 0.167 0.000
Se1 0.000 0.500 0.000
Br1 0.000 0.000 0.500
Br2 0.000 0.339 0.500
```

Results
calculated density = 7.4 Mg/m³
formation energy (no corrections) = -1.2415 eV/atom
total DFT energy (no corrections) = -0.426 Ry/atom

> calculated density of number 1 (Pm6Ir2SeBr3)?

7.4 Mg/m³